No. 1
This record from Alexandria describes a relaxed Nd2MgCu2O6 crystal. The functional is PBE-GGA.

CIF file:
```
data_Nd2MgCu2O6
_chemical_formula_sum 'Nd2 Mg1 Cu2 O6'
_space_group_name_H-M_alt 'P 1'
_space_group_IT_number 1
_space_group_name_Hall 'P 1'
_cell_length_a 5.745
_cell_length_b 5.745
_cell_length_c 6.189
_cell_angle_alpha 62.34
_cell_angle_beta 62.34
_cell_angle_gamma 60.00
loop_
_atom_site_label
_atom_site_type_symbol
_atom_site_fract_x
_atom_site_fract_y
_atom_site_fract_z
_atom_site_occupancy
Cu1 Cu 0.582 0.582 0.253 1
Mg1 Mg 0.000 0.000 0.000 1
Nd1 Nd 0.792 0.792 0.624 1
Cu2 Cu 0.418 0.418 0.747 1
O1 O 0.241 0.241 0.725 1
O2 O 0.794 0.241 0.725 1
O3 O 0.241 0.794 0.725 1
Nd2 Nd 0.208 0.208 0.376 1
O4 O 0.759 0.206 0.275 1
O5 O 0.759 0.759 0.275 1
O6 O 0.206 0.759 0.275 1
```

## Properties
Energy relative to the elements, uncorrected   -1.873 eV/atom
E   -69.68 eV per formula unit
DOS at the Fermi energy   0.329 states/eV/atom
SG   R-3m, No. 166

***

No. 2
This record from Alexandria describes a relaxed LuPuRu4 crystal. The functional is PBE-GGA.

CIF file:
```
data_LuPuRu4
_chemical_formula_sum 'Lu1 Pu1 Ru4'
_space_group_name_H-M_alt 'P 1'
_space_group_IT_number 1
_space_group_name_Hall 'P 1'
_cell_length_a 5.303
_cell_length_b 5.303
_cell_length_c 5.303
_cell_angle_alpha 60.00
_cell_angle_beta 60.00
_cell_angle_gamma 60.00
loop_
_atom_site_label
_atom_site_type_symbol
_atom_site_fract_x
_atom_site_fract_y
_atom_site_fract_z
_atom_site_occupancy
Lu1 Lu 0.000 0.000 0.000 1
Pu1 Pu 0.250 0.250 0.250 1
Ru1 Ru 0.625 0.125 0.625 1
Ru2 Ru 0.125 0.625 0.625 1
Ru3 Ru 0.625 0.625 0.625 1
Ru4 Ru 0.625 0.625 0.125 1
```

## Properties
E   -57.41 eV per formula unit
DOS at the Fermi energy   0.976 states/eV/atom
SG   F-43m, No. 216